1.
First-principles (PBE) data for a relaxed KMoAs2 crystal, as listed in Alexandria.

```
data_KMoAs2
_chemical_formula_sum 'K4 Mo4 As8'
_cell_length_a 6.2088
_cell_length_b 6.2088
_cell_length_c 14.2852
_cell_angle_alpha 90.00
_cell_angle_beta 90.00
_cell_angle_gamma 90.00
_symmetry_space_group_name_H-M 'I -4 2 d'
_symmetry_Int_Tables_number 122
_symmetry_space_group_name_Hall 'I -4 2bw'
loop_
_atom_site_label
_atom_site_type_symbol
_atom_site_fract_x
_atom_site_fract_y
_atom_site_fract_z
_atom_site_occupancy
K1 K 0.0000 0.0000 0.0000 1
Mo1 Mo 0.0000 0.0000 0.5000 1
As1 As 0.0011 0.7500 0.6250 1
```

Its formation energy is -0.04 eV per atom. The uncorrected energy is -85.527 eV/cell. As for the crystal system: tetragonal. The calculation puts the distance to the lowest polymorph of the same formula at 0.185 eV per atom.

=====

2.
First-principles (PBE) data for a relaxed Mn2BeAs crystal, as listed in Alexandria.

```
data_Mn2BeAs
_chemical_formula_sum 'Mn4 Be2 As2'
_cell_length_a 3.4887
_cell_length_b 3.4887
_cell_length_c 7.7834
_cell_angle_alpha 90.00
_cell_angle_beta 90.00
_cell_angle_gamma 90.00
_symmetry_space_group_name_H-M 'I -4 m 2'
_symmetry_Int_Tables_number 119
_symmetry_space_group_name_Hall 'I -4 -2'
loop_
_atom_site_label
_atom_site_type_symbol
_atom_site_fract_x
_atom_site_fract_y
_atom_site_fract_z
_atom_site_occupancy
Mn1 Mn 0.0000 0.0000 0.0000 1
Mn2 Mn 0.0000 0.5000 0.2500 1
Be1 Be 0.0000 0.5000 0.7500 1
As1 As 0.0000 0.0000 0.5000 1
```

Its formation energy is 0.00 eV per atom. The uncorrected energy is -53.398 eV/cell. As for the crystal system: tetragonal. The calculation puts the distance to the lowest polymorph of the same formula at 0.046 eV per atom.

=====

3.
First-principles (PBE) data for a relaxed Ba5MnS6 crystal, as listed in Alexandria.

```
data_Ba5MnS6
_chemical_formula_sum 'Ba10 Mn2 S12'
_cell_length_a 7.6795
_cell_length_b 13.4160
_cell_length_c 7.6478
_cell_angle_alpha 90.00
_cell_angle_beta 109.08
_cell_angle_gamma 90.00
_symmetry_space_group_name_H-M 'C 1 2/m 1'
_symmetry_Int_Tables_number 12
loop_
_symmetry_equiv_pos_as_xyz
'x,y,z'
'-x,-y,-z'
'-x,y,-z'
'x,-y,z'
'x+1/2,y+1/2,z'
'-x+1/2,-y+1/2,-z'
'-x+1/2,y+1/2,-z'
'x+1/2,-y+1/2,z'
loop_
_atom_site_label
_atom_site_type_symbol
_atom_site_fract_x
_atom_site_fract_y
_atom_site_fract_z
_atom_site_occupancy
Ba1 Ba 0.0000 0.0000 0.0000 1
Ba2 Ba 0.0000 0.1681 0.5000 1
Ba3 Ba 0.0000 0.3341 0.0000 1
Mn1 Mn 0.0000 0.5000 0.5000 1
S1 S 0.2141 0.5000 0.2854 1
S2 S 0.2412 0.3423 0.7433 1
```

The uncorrected energy is -127.964 eV/cell. As for the crystal system: monoclinic. For the uncorrected formation energy, the calculation gives -1.70 eV per atom.